# NiMoP2

A relaxed NiMoP2 crystal (PBE-GGA, Alexandria).

Computed properties:
DFT formation energy	-0.5783	eV per atom
D(E_F)	0.221	states/eV/atom
total magnetic moment	0.00	μB per cell

Geometry as CIF:
```
data_NiMoP2
_chemical_formula_sum 'Ni2 Mo2 P4'
_space_group_name_H-M_alt 'P 63/m m c'
_space_group_IT_number 194
_space_group_name_Hall '-P 6c 2c'
_cell_length_a 3.3452
_cell_length_b 3.3452
_cell_length_c 11.2083
_cell_angle_alpha 90.00
_cell_angle_beta 90.00
_cell_angle_gamma 120.00
loop_
_atom_site_label
_atom_site_type_symbol
_atom_site_fract_x
_atom_site_fract_y
_atom_site_fract_z
_atom_site_occupancy
Ni1 Ni 0.0000 0.0000 0.0000 1
Mo1 Mo 0.0000 0.0000 0.2500 1
P1 P 0.3333 0.6667 0.1121 1
```